A relaxed structure of V9Pd4Rh11, computed with PBE-GGA.

a = 2.753 Å, b = 11.345 Å, c = 11.345 Å
α = 105.94°, β = 90.00°, γ = 90.00°
Site moments in Bohr magnetons follow the coordinates.
Positions (direct):
V 0.500 0.588 0.159  0.05
V 0.500 0.412 0.841  0.05
V 0.500 0.159 0.588  0.05
V 0.500 0.841 0.412  0.05
V 0.500 0.802 0.999  0.62
V 0.500 0.198 0.001  0.62
V 0.500 0.999 0.802  0.62
V 0.500 0.001 0.198  0.62
V 0.500 0.500 0.500  -0.05
Pd 0.500 0.584 0.738  0.00
Pd 0.500 0.416 0.262  0.00
Pd 0.500 0.738 0.584  0.00
Pd 0.500 0.262 0.416  0.00
Rh 0.000 0.606 0.968  0.01
Rh 0.000 0.394 0.032  0.01
Rh 0.000 0.968 0.606  0.01
Rh 0.000 0.032 0.394  0.01
Rh 0.000 0.636 0.364  0.00
Rh 0.000 0.364 0.636  0.00
Rh 0.000 0.797 0.203  0.04
Rh 0.000 0.203 0.797  0.04
Rh 0.000 0.000 0.000  -0.01
Rh 0.000 0.806 0.806  -0.04
Rh 0.000 0.194 0.194  -0.04

---

A relaxed structure of VPd2Rh3, computed with PBE-GGA.

a = 3.911 Å, b = 6.164 Å, c = 7.567 Å
α = 90.00°, β = 90.00°, γ = 71.51°
Positions (direct):
V 0.343 0.314 0.000
V 0.657 0.686 0.000
Pd 0.000 0.000 0.000
Pd 0.000 0.000 0.500
Pd 0.331 0.338 0.500
Pd 0.669 0.662 0.500
Rh 0.828 0.344 0.772
Rh 0.500 0.000 0.242
Rh 0.172 0.656 0.228
Rh 0.828 0.344 0.228
Rh 0.172 0.656 0.772
Rh 0.500 0.000 0.758

---

A relaxed structure of VPdRh, computed with PBE-GGA.

Values from the calculation:
The value obtained for the polymorph energy (0 for the lowest one) is 30 meV/atom.

a = 2.746 Å, b = 2.746 Å, c = 5.998 Å
α = 103.23°, β = 103.23°, γ = 90.00°
Positions (direct):
Rh 0.321 0.321 0.643
Pd 0.007 0.007 0.013
V 0.672 0.672 0.344

---

A relaxed structure of VPdRh, computed with PBE-GGA.

Values from the calculation:
The value obtained for the polymorph energy (0 for the lowest one) is 181 meV/atom.

a = 4.808 Å, b = 4.808 Å, c = 5.021 Å
α = 103.50°, β = 103.50°, γ = 120.83°
Positions (direct):
Pd 0.657 0.343 0.000
Pd 0.343 0.657 0.000
Rh 0.850 0.850 0.700
Rh 0.150 0.150 0.300
V 0.750 0.250 0.500
V 0.250 0.750 0.500

---

no.,formation energy (eV per formula unit),DFT total energy (eV/atom)
1,-7.13,-7.95
2,-1.05,-7.10
3,-0.85,-7.50
4,-0.40,-7.35